This record from the Alexandria database describes an optimized crystal structure of PrNdIr. The functional is GGA-PBE.

Output
Mass density   8.55 g/cm3
SG   Cm
Electronic total energy   -6.50 eV/atom
E_form   -0.36 eV per atom

a b c (Å): 7.2334 7.2334 7.9156
angles (deg): 120.65 120.65 31.85
Closest atoms and distances in Å follow each position.
Sites, in units of the cell vectors:
Pr (0.0000, 0.0000, 0.0000)  3 Ir 2.85-3.05
Pr (0.6540, 0.6540, 0.5008)  3 Ir 2.89-3.08
Nd (0.4100, 0.4100, 0.5132)  3 Ir 2.88-2.89
Nd (0.7393, 0.7393, 0.0197)  4 Ir 2.95-2.97
Ir (0.0855, 0.0855, 0.7163)  4 Nd 2.88-2.97, 3 Pr 3.05-3.08
Ir (0.4237, 0.4237, 0.1613)  3 Pr 2.85-2.89, 3 Nd 2.89-2.95